Compound: Ca2H2Pd
Source: Alexandria
Functional: PBE
Structure: optimized geometry

Cell: 6.9515 6.9515 3.1625 Å, 90.00 90.00 90.00°
Closest atoms and distances in Å follow each position.
Space group P4/mbm (No. 127)
Asymmetric unit:
1 Ca 0.1753 0.3247 0.0000 (multiplicity 4)  6 H 2.54-2.63
2 H 0.1220 0.6220 0.5000 (multiplicity 4)  1 H 2.40, 6 Ca 2.54-2.63
3 Pd 0.0000 0.0000 0.5000 (multiplicity 2)  4 H 2.76, 8 Ca 3.01

V = 15.3 Å³ per atom
calculated density = 4.098 g cm⁻³
size of the total moment = 0.000 μB/atom
uncorrected energy = -3.5753 eV/atom